Entry 1:
# GePd7 (PBE, relaxed)
data_GePd7
_symmetry_space_group_name_H-M 'P m m n'
_symmetry_Int_Tables_number 59
_cell_length_a 2.809
_cell_length_b 3.947
_cell_length_c 35.857
_cell_angle_alpha 90.00
_cell_angle_beta 90.00
_cell_angle_gamma 90.00
loop_
_symmetry_equiv_pos_as_xyz
'x,y,z'
'-x,-y,-z'
'-x+1/2,-y+1/2,z'
'x+1/2,y+1/2,-z'
'x+1/2,-y,-z'
'-x+1/2,y,z'
'-x,y+1/2,-z'
'x,-y+1/2,z'
loop_
_atom_site_label
_atom_site_type_symbol
_atom_site_fract_x
_atom_site_fract_y
_atom_site_fract_z
_atom_site_occupancy
Ge1 Ge 0.250 0.250 0.215 1
Pd1 Pd 0.250 0.250 0.285 1
Pd2 Pd 0.250 0.250 0.364 1
Pd3 Pd 0.250 0.250 0.442 1
Pd4 Pd 0.250 0.250 0.519 1
Pd5 Pd 0.250 0.250 0.598 1
Pd6 Pd 0.250 0.250 0.676 1
Pd7 Pd 0.250 0.250 0.758 1
# Raw total energy in eV per atom: -5.167

=====

Entry 2:
# Ge3Pd (PBE, relaxed)
data_Ge3Pd
_symmetry_space_group_name_H-M 'C m c e'
_symmetry_Int_Tables_number 64
_symmetry_space_group_name_Hall '-C 2ac 2'
_cell_length_a 15.857
_cell_length_b 5.996
_cell_length_c 6.037
_cell_angle_alpha 90.00
_cell_angle_beta 90.00
_cell_angle_gamma 90.00
loop_
_atom_site_label
_atom_site_type_symbol
_atom_site_fract_x
_atom_site_fract_y
_atom_site_fract_z
_atom_site_occupancy
Ge1 Ge 0.000 0.152 0.155 1
Ge2 Ge 0.174 0.159 0.838 1
Pd1 Pd 0.090 0.000 0.500 1
# Raw total energy in eV per atom: -4.869

=====

Entry 3:
# GePd15 (PBE, relaxed)
data_GePd15
_symmetry_space_group_name_H-M 'P 1 21/m 1'
_symmetry_Int_Tables_number 11
_cell_length_a 5.539
_cell_length_b 3.947
_cell_length_c 36.282
_cell_angle_alpha 90.00
_cell_angle_beta 90.05
_cell_angle_gamma 90.00
loop_
_symmetry_equiv_pos_as_xyz
'x,y,z'
'-x,-y,-z'
'-x,y+1/2,-z'
'x,-y+1/2,z'
loop_
_atom_site_label
_atom_site_type_symbol
_atom_site_fract_x
_atom_site_fract_y
_atom_site_fract_z
_atom_site_occupancy
Ge1 Ge 0.125 0.250 0.281 1
Pd1 Pd 0.122 0.250 0.745 1
Pd2 Pd 0.125 0.250 0.058 1
Pd3 Pd 0.125 0.250 0.135 1
Pd4 Pd 0.125 0.250 0.212 1
Pd5 Pd 0.125 0.250 0.825 1
Pd6 Pd 0.125 0.250 0.903 1
Pd7 Pd 0.125 0.250 0.981 1
Pd8 Pd 0.372 0.750 0.255 1
Pd9 Pd 0.375 0.750 0.019 1
Pd10 Pd 0.375 0.750 0.097 1
Pd11 Pd 0.375 0.750 0.175 1
Pd12 Pd 0.375 0.750 0.709 1
Pd13 Pd 0.375 0.750 0.787 1
Pd14 Pd 0.375 0.750 0.864 1
Pd15 Pd 0.375 0.750 0.942 1
# Raw total energy in eV per atom: -5.153

=====

Entry 4:
# GePd15 (PBE, relaxed)
data_GePd15
_symmetry_space_group_name_H-M 'P c c m'
_symmetry_Int_Tables_number 49
_cell_length_a 7.949
_cell_length_b 44.910
_cell_length_c 3.925
_cell_angle_alpha 90.00
_cell_angle_beta 90.00
_cell_angle_gamma 90.00
loop_
_symmetry_equiv_pos_as_xyz
'x,y,z'
'-x,-y,-z'
'-x,-y,z'
'x,y,-z'
'x,-y,-z+1/2'
'-x,y,z+1/2'
'-x,y,-z+1/2'
'x,-y,z+1/2'
loop_
_atom_site_label
_atom_site_type_symbol
_atom_site_fract_x
_atom_site_fract_y
_atom_site_fract_z
_atom_site_occupancy
Ge1 Ge 0.175 0.174 0.000 1
Pd1 Pd 0.120 0.210 0.500 1
Pd2 Pd 0.121 0.257 0.000 1
Pd3 Pd 0.123 0.302 0.500 1
Pd4 Pd 0.125 0.346 0.000 1
Pd5 Pd 0.125 0.390 0.500 1
Pd6 Pd 0.125 0.434 0.000 1
Pd7 Pd 0.125 0.478 0.500 1
Pd8 Pd 0.370 0.258 0.500 1
Pd9 Pd 0.372 0.168 0.500 1
Pd10 Pd 0.373 0.302 0.000 1
Pd11 Pd 0.375 0.346 0.500 1
Pd12 Pd 0.375 0.390 0.000 1
Pd13 Pd 0.375 0.434 0.500 1
Pd14 Pd 0.375 0.478 0.000 1
Pd15 Pd 0.380 0.214 0.000 1
# Raw total energy in eV per atom: -5.166

=====

Entry 5:
# GePd15 (PBE, relaxed)
data_GePd15
_symmetry_space_group_name_H-M 'P 1 21/m 1'
_symmetry_Int_Tables_number 11
_cell_length_a 5.521
_cell_length_b 2.812
_cell_length_c 45.032
_cell_angle_alpha 90.00
_cell_angle_beta 90.00
_cell_angle_gamma 90.00
loop_
_symmetry_equiv_pos_as_xyz
'x,y,z'
'-x,-y,-z'
'-x,y+1/2,-z'
'x,-y+1/2,z'
loop_
_atom_site_label
_atom_site_type_symbol
_atom_site_fract_x
_atom_site_fract_y
_atom_site_fract_z
_atom_site_occupancy
Ge1 Ge 0.125 0.250 0.175 1
Pd1 Pd 0.124 0.250 0.698 1
Pd2 Pd 0.125 0.250 0.257 1
Pd3 Pd 0.125 0.250 0.346 1
Pd4 Pd 0.125 0.250 0.434 1
Pd5 Pd 0.125 0.250 0.522 1
Pd6 Pd 0.125 0.250 0.610 1
Pd7 Pd 0.127 0.250 0.788 1
Pd8 Pd 0.374 0.750 0.302 1
Pd9 Pd 0.375 0.750 0.390 1
Pd10 Pd 0.375 0.750 0.478 1
Pd11 Pd 0.375 0.750 0.566 1
Pd12 Pd 0.375 0.750 0.654 1
Pd13 Pd 0.375 0.750 0.742 1
Pd14 Pd 0.375 0.750 0.833 1
Pd15 Pd 0.377 0.750 0.212 1
# Raw total energy in eV per atom: -5.150

=====

Entry 6:
# GePd10 (PBE, relaxed)
data_GePd10
_symmetry_space_group_name_H-M 'C 1 2/m 1'
_symmetry_Int_Tables_number 12
_cell_length_a 8.731
_cell_length_b 3.912
_cell_length_c 33.477
_cell_angle_alpha 90.00
_cell_angle_beta 90.32
_cell_angle_gamma 90.00
loop_
_symmetry_equiv_pos_as_xyz
'x,y,z'
'-x,-y,-z'
'-x,y,-z'
'x,-y,z'
'x+1/2,y+1/2,z'
'-x+1/2,-y+1/2,-z'
'-x+1/2,y+1/2,-z'
'x+1/2,-y+1/2,z'
loop_
_atom_site_label
_atom_site_type_symbol
_atom_site_fract_x
_atom_site_fract_y
_atom_site_fract_z
_atom_site_occupancy
Ge1 Ge 0.154 0.000 0.230 1
Pd1 Pd 0.048 0.000 0.406 1
Pd2 Pd 0.048 0.500 0.268 1
Pd3 Pd 0.051 0.000 0.675 1
Pd4 Pd 0.051 0.500 0.540 1
Pd5 Pd 0.149 0.500 0.352 1
Pd6 Pd 0.150 0.000 0.487 1
Pd7 Pd 0.152 0.500 0.620 1
Pd8 Pd 0.153 0.000 0.762 1
Pd9 Pd 0.246 0.500 0.701 1
Pd10 Pd 0.248 0.500 0.433 1
# Raw total energy in eV per atom: -5.182

=====

Entry 7:
# Ge9Pd25 (PBE, relaxed)
data_Ge9Pd25
_symmetry_space_group_name_H-M 'P -3'
_symmetry_Int_Tables_number 147
_cell_length_a 7.4763
_cell_length_b 7.4763
_cell_length_c 10.7543
_cell_angle_alpha 90.00
_cell_angle_beta 90.00
_cell_angle_gamma 120.00
loop_
_symmetry_equiv_pos_as_xyz
'x,y,z'
'-x,-y,-z'
'-y,x-y,z'
'y,-x+y,-z'
'-x+y,-x,z'
'x-y,x,-z'
loop_
_atom_site_label
_atom_site_type_symbol
_atom_site_fract_x
_atom_site_fract_y
_atom_site_fract_z
_atom_site_occupancy
Ge1 Ge 0.0000 0.0000 0.0000 1
Ge2 Ge 0.0070 0.3424 0.6787 1
Ge3 Ge 0.3333 0.6667 0.9767 1
Pd1 Pd 0.0000 0.0000 0.2486 1
Pd2 Pd 0.0000 0.0000 0.5000 1
Pd3 Pd 0.0681 0.7225 0.0788 1
Pd4 Pd 0.0741 0.3813 0.4320 1
Pd5 Pd 0.0895 0.6747 0.8129 1
Pd6 Pd 0.3333 0.6667 0.2420 1
Pd7 Pd 0.3333 0.6667 0.6089 1
# Raw total energy in eV per atom: -5.488

=====

Entry 8:
# GePd7 (PBE, relaxed)
data_GePd7
_symmetry_space_group_name_H-M 'P 4/n m m'
_symmetry_Int_Tables_number 129
_cell_length_a 2.825
_cell_length_b 2.825
_cell_length_c 44.006
_cell_angle_alpha 90.00
_cell_angle_beta 90.00
_cell_angle_gamma 90.00
loop_
_symmetry_equiv_pos_as_xyz
'x,y,z'
'-x,-y,-z'
'-y+1/2,x,z'
'y+1/2,-x,-z'
'-x+1/2,-y+1/2,z'
'x+1/2,y+1/2,-z'
'y,-x+1/2,z'
'-y,x+1/2,-z'
'x+1/2,-y,-z'
'-x+1/2,y,z'
'-y,-x,-z'
'y,x,z'
'-x,y+1/2,-z'
'x,-y+1/2,z'
'y+1/2,x+1/2,-z'
'-y+1/2,-x+1/2,z'
loop_
_atom_site_label
_atom_site_type_symbol
_atom_site_fract_x
_atom_site_fract_y
_atom_site_fract_z
_atom_site_occupancy
Ge1 Ge 0.250 0.250 0.171 1
Pd1 Pd 0.250 0.250 0.256 1
Pd2 Pd 0.250 0.250 0.346 1
Pd3 Pd 0.250 0.250 0.434 1
Pd4 Pd 0.250 0.250 0.522 1
Pd5 Pd 0.250 0.250 0.610 1
Pd6 Pd 0.250 0.250 0.699 1
Pd7 Pd 0.250 0.250 0.789 1
# Raw total energy in eV per atom: -5.130